[1]
Compound: Ca2Mg5Pt3
Source: Alexandria via LeMat-Bulk
Functional: PBE-GGA
Structure: optimized geometry Values from VASP.

Structure (Quantum ESPRESSO input):
```
&SYSTEM
  ibrav = 0, nat = 20, ntyp = 3
/
ATOMIC_SPECIES
Ca 40.08 Ca.upf
Mg 24.30 Mg.upf
Pt 195.08 Pt.upf
CELL_PARAMETERS angstrom
2.1680 -13.3894 0.0000
2.1680 13.3894 0.0000
0.0000 0.0000 7.3487
ATOMIC_POSITIONS angstrom
Ca 2.1680 12.7040 3.6743
Ca 2.1680 4.7109 4.2783
Ca 2.1680 -4.7109 0.6040
Ca 2.1680 -12.7040 0.0000
Mg 2.1680 10.8410 6.5213
Mg 2.1680 7.8123 2.7740
Mg 2.1680 7.7647 5.6897
Mg 2.1680 3.4436 0.3188
Mg 2.1680 1.4790 4.9071
Mg 2.1680 -1.4790 1.2328
Mg 2.1680 -3.4436 3.9931
Mg 2.1680 -7.7647 2.0154
Mg 2.1680 -7.8123 6.4484
Mg 2.1680 -10.8410 2.8469
Pt 2.1680 10.3675 1.8945
Pt 2.1680 6.2416 0.5530
Pt 2.1680 1.1667 2.1158
Pt 2.1680 -1.1667 5.7901
Pt 2.1680 -6.2416 4.2273
Pt 2.1680 -10.3675 5.5688
```

Summary:
total energy	-3.72	eV per atom
E_form	-0.7098	eV/atom
volume	426.6	Å³/cell

[2]
Compound: KBeSeO4
Source: Alexandria via LeMat-Bulk
Functional: PBE-GGA
Structure: optimized geometry Values from VASP.

Structure (Quantum ESPRESSO input):
```
&SYSTEM
  ibrav = 0, nat = 7, ntyp = 4
/
ATOMIC_SPECIES
K 39.10 K.upf
Be 9.01 Be.upf
Se 78.96 Se.upf
O 16.00 O.upf
CELL_PARAMETERS angstrom
0.0000 3.9519 3.9519
3.9519 0.0000 3.9519
3.9519 3.9519 0.0000
ATOMIC_POSITIONS angstrom
K 0.0000 0.0000 0.0000
Be 3.9519 3.9519 3.9519
Se 1.9759 1.9759 1.9759
O 3.0013 3.0013 3.0013
O 4.9025 4.9025 3.0013
O 4.9025 3.0013 4.9025
O 3.0013 4.9025 4.9025
```

Summary:
raw formation energy	-1.2539	eV/atom
total energy	-5.27	eV per atom
volume	123.4	Å³/cell

Question: volume of number 1 (Ca2Mg5Pt3)?
Answer: 426.6 Å³/cell

Question: Among the records above, which one has the highest volume?
Answer: Ca2Mg5Pt3

Question: Which formula does entry 2 have?
Answer: KBeSeO4

Question: Look up the total energy of the first one.
Answer: -3.72 eV per atom